VASP calculation (GGA+U) on a relaxed structure of LaPuNi2O6.

* V: 12.9 Å³ per atom
* spin magnetization: 1.0 μB per formula unit
* uncorrected energy: -7.627 eV/atom
* mass density: 7.7 Mg/m³

Lattice parameters (Å, degrees): 5.5334 5.5334 14.6336 90.00 90.00 120.00
Last column: nearest neighbours and their distance in Å.
Space group R3 (No. 146, hexagonal axes)
Unique sites:
La 0.0000 0.0000 0.0000 [3 per cell]  6 O 2.35-2.53
Pu 0.0000 0.0000 0.4801 [3 per cell]  6 O 2.14-2.18
Ni 0.0000 0.0000 0.2734 [3 per cell]  6 O 2.05-2.24
Ni 0.0000 0.0000 0.7858 [3 per cell]  6 O 2.06-2.18
O 0.0084 0.3626 0.5417 [9 per cell]  2 Ni 2.05-2.18, 1 Pu 2.18
O 0.0219 0.6069 0.0481 [9 per cell]  2 Ni 2.06-2.24, 1 Pu 2.14